[1]
The following is a DFT calculation (PBE) of a relaxed structure of Sc3CuN.

Computed properties:
The calculation puts the spin magnetization at 1.1 μB per formula unit. The formation energy from raw total energies comes out at -821 meV/atom. As for the symmetry: Pm-3m. The calculation puts the density at 4.19 g/cm³. The calculation puts the density of states at the Fermi level at 4.46 states/eV/f.u.

Lattice parameters (Å, degrees): 4.3825 4.3825 4.3825 90.00 90.00 90.00
Last column: nearest neighbours and their distance in Å.
Sites, in units of the cell vectors:
Sc1 0.0000 0.0000 0.5000  2 N 2.19
Sc2 0.0000 0.5000 0.0000  2 N 2.19
Sc3 0.5000 0.0000 0.0000  2 N 2.19
Cu1 0.5000 0.5000 0.5000  12 Sc 3.10
N1 0.0000 0.0000 0.0000  6 Sc 2.19

***

[2]
The following is a DFT calculation (PBE) of a relaxed structure of ScCuN3.

Computed properties:
The calculation puts the spin magnetization at 0.0 μB per formula unit. The formation energy from raw total energies comes out at 822 meV/atom. As for the symmetry: Pm-3m. The calculation puts the density at 4.89 g/cm³. The calculation puts the density of states at the Fermi level at 3.30 states/eV/f.u.

Lattice parameters (Å, degrees): 3.7120 3.7120 3.7120 90.00 90.00 90.00
Last column: nearest neighbours and their distance in Å.
Sites, in units of the cell vectors:
Sc1 0.0000 0.0000 0.0000  12 N 2.62
Cu1 0.5000 0.5000 0.5000  6 N 1.86
N1 0.0000 0.5000 0.5000  2 Cu 1.86
N2 0.5000 0.0000 0.5000  2 Cu 1.86
N3 0.5000 0.5000 0.0000  2 Cu 1.86

***

[3]
The following is a DFT calculation (PBE) of a relaxed structure of ScCuN3.

Computed properties:
The calculation puts the spin magnetization at 0.0 μB per formula unit. The formation energy from raw total energies comes out at 1469 meV/atom. As for the symmetry: Pm-3m. The calculation puts the density at 3.70 g/cm³. The calculation puts the density of states at the Fermi level at 4.86 states/eV/f.u.

Lattice parameters (Å, degrees): 4.0720 4.0720 4.0720 90.00 90.00 90.00
Last column: nearest neighbours and their distance in Å.
Sites, in units of the cell vectors:
Sc1 0.0000 0.0000 0.0000  6 N 2.04
Cu1 0.5000 0.5000 0.5000  12 N 2.88
N1 0.0000 0.0000 0.5000  2 Sc 2.04
N2 0.0000 0.5000 0.0000  2 Sc 2.04
N3 0.5000 0.0000 0.0000  2 Sc 2.04

***

[4]
The following is a DFT calculation (PBE) of a relaxed structure of ScCu3N.

Computed properties:
The calculation puts the spin magnetization at 0.0 μB per formula unit. The formation energy from raw total energies comes out at 2324 meV/atom. As for the symmetry: Pm-3m. The energy above the most stable polymorph in this dataset is 2.034 eV/atom. The calculation puts the density at 3.99 g/cm³. The calculation puts the density of states at the Fermi level at 8.23 states/eV/f.u.

Lattice parameters (Å, degrees): 4.7024 4.7024 4.7024 90.00 90.00 90.00
Last column: nearest neighbours and their distance in Å.
Sites, in units of the cell vectors:
Sc1 0.0000 0.0000 0.0000  6 Cu 2.35
Cu1 0.0000 0.0000 0.5000  2 Sc 2.35
Cu2 0.0000 0.5000 0.0000  2 Sc 2.35
Cu3 0.5000 0.0000 0.0000  2 Sc 2.35
N1 0.5000 0.5000 0.5000  12 Cu 3.33

***

[5]
The following is a DFT calculation (PBE) of a relaxed structure of ScCuN2.

Computed properties:
The calculation puts the spin magnetization at 0.0 μB per formula unit. The formation energy from raw total energies comes out at 749 meV/atom. As for the symmetry: R-3m. The energy above the most stable polymorph in this dataset is 0.918 eV/atom. The calculation puts the density at 4.46 g/cm³. The calculation puts the density of states at the Fermi level at 2.93 states/eV/f.u.

Lattice parameters (Å, degrees): 6.1994 6.1994 6.1994 29.42 29.42 29.42
Last column: nearest neighbours and their distance in Å.
Sites, in units of the cell vectors:
Sc1 0.0000 0.0000 0.0000  2 N 2.06
Cu1 0.5000 0.5000 0.5000  6 N 2.03
N1 0.1159 0.1159 0.1159  3 Cu 2.03, 1 Sc 2.06
N2 0.8841 0.8841 0.8841  3 Cu 2.03, 1 Sc 2.06

***

[6]
The following is a DFT calculation (PBE) of a relaxed structure of ScCuSeN2.

Computed properties:
The calculation puts the spin magnetization at 1.2 μB per formula unit. The formation energy from raw total energies comes out at 681 meV/atom. As for the symmetry: P4/mmm. The energy above the most stable polymorph in this dataset is 0.000 eV/atom. The calculation puts the density at 5.04 g/cm³. The calculation puts the density of states at the Fermi level at 3.25 states/eV/f.u.

Lattice parameters (Å, degrees): 3.8499 3.8499 4.7874 90.00 90.00 90.00
Last column: nearest neighbours and their distance in Å.
Sites, in units of the cell vectors:
Sc1 0.0000 0.0000 0.0000  4 Se 2.72
Cu1 0.5000 0.5000 0.5000  4 N 1.92
Se1 0.5000 0.5000 0.0000  2 Cu 2.39
N1 0.0000 0.5000 0.5000  2 Cu 1.92
N2 0.5000 0.0000 0.5000  2 Cu 1.92

***

[7]
The following is a DFT calculation (PBE) of a relaxed structure of ScCuSe2N.

Computed properties:
The calculation puts the spin magnetization at 0.0 μB per formula unit. The formation energy from raw total energies comes out at 389 meV/atom. As for the symmetry: P4/mmm. The energy above the most stable polymorph in this dataset is 0.268 eV/atom. The calculation puts the density at 4.30 g/cm³. The calculation puts the density of states at the Fermi level at 6.24 states/eV/f.u.

Lattice parameters (Å, degrees): 5.1998 5.1998 4.0029 90.00 90.00 90.00
Last column: nearest neighbours and their distance in Å.
Sites, in units of the cell vectors:
Sc1 0.0000 0.0000 0.0000  2 N 2.00
Cu1 0.5000 0.5000 0.5000  8 Se 3.28
Se1 0.0000 0.5000 0.0000  2 Sc 2.60
Se2 0.5000 0.0000 0.0000  2 Sc 2.60
N1 0.0000 0.0000 0.5000  2 Sc 2.00

***

[8]
The following is a DFT calculation (PBE) of a relaxed structure of ScCuSe2N.

Computed properties:
The calculation puts the spin magnetization at 1.6 μB per formula unit. The formation energy from raw total energies comes out at 121 meV/atom. As for the symmetry: P4/mmm. The energy above the most stable polymorph in this dataset is 0.000 eV/atom. The calculation puts the density at 5.23 g/cm³. The calculation puts the density of states at the Fermi level at 2.33 states/eV/f.u.

Lattice parameters (Å, degrees): 4.9327 4.9327 3.6592 90.00 90.00 90.00
Last column: nearest neighbours and their distance in Å.
Sites, in units of the cell vectors:
Sc1 0.0000 0.0000 0.0000  8 Se 3.07
Cu1 0.5000 0.5000 0.5000  2 N 1.83
Se1 0.0000 0.5000 0.5000  2 Cu 2.47
Se2 0.5000 0.0000 0.5000  2 Cu 2.47
N1 0.5000 0.5000 0.0000  2 Cu 1.83

***

[9]
The following is a DFT calculation (PBE) of a relaxed structure of ScCuSeN2.

Computed properties:
The calculation puts the spin magnetization at 2.9 μB per formula unit. The formation energy from raw total energies comes out at 806 meV/atom. As for the symmetry: P4/mmm. The energy above the most stable polymorph in this dataset is 0.126 eV/atom. The calculation puts the density at 3.88 g/cm³. The calculation puts the density of states at the Fermi level at 3.13 states/eV/f.u.

Lattice parameters (Å, degrees): 4.0971 4.0971 5.4953 90.00 90.00 90.00
Last column: nearest neighbours and their distance in Å.
Sites, in units of the cell vectors:
Sc1 0.0000 0.0000 0.0000  4 N 2.05
Cu1 0.5000 0.5000 0.5000  4 Se 2.90
Se1 0.0000 0.0000 0.5000  2 Sc 2.75, 4 Cu 2.90
N1 0.0000 0.5000 0.0000  2 Sc 2.05
N2 0.5000 0.0000 0.0000  2 Sc 2.05

***

[10]
The following is a DFT calculation (PBE) of a relaxed structure of ScCuTeN2.

Computed properties:
The calculation puts the spin magnetization at 1.5 μB per formula unit. The formation energy from raw total energies comes out at 954 meV/atom. As for the symmetry: P4/mmm. The energy above the most stable polymorph in this dataset is 0.163 eV/atom. The calculation puts the density at 5.44 g/cm³. The calculation puts the density of states at the Fermi level at 3.53 states/eV/f.u.

Lattice parameters (Å, degrees): 3.9854 3.9854 5.0744 90.00 90.00 90.00
Last column: nearest neighbours and their distance in Å.
Sites, in units of the cell vectors:
Sc1 0.0000 0.0000 0.0000  4 Te 2.82
Cu1 0.5000 0.5000 0.5000  4 N 1.99
Te1 0.5000 0.5000 0.0000  2 Cu 2.54, 4 Sc 2.82
N1 0.0000 0.5000 0.5000  2 Cu 1.99
N2 0.5000 0.0000 0.5000  2 Cu 1.99

***

[11]
The following is a DFT calculation (PBE) of a relaxed structure of ScCuTe2N.

Computed properties:
The calculation puts the spin magnetization at 1.4 μB per formula unit. The formation energy from raw total energies comes out at 290 meV/atom. As for the symmetry: P4/mmm. The energy above the most stable polymorph in this dataset is 0.000 eV/atom. The calculation puts the density at 5.99 g/cm³. The calculation puts the density of states at the Fermi level at 2.93 states/eV/f.u.

Lattice parameters (Å, degrees): 5.3430 5.3430 3.6664 90.00 90.00 90.00
Last column: nearest neighbours and their distance in Å.
Sites, in units of the cell vectors:
Sc1 0.0000 0.0000 0.0000  8 Te 3.24
Cu1 0.5000 0.5000 0.5000  2 N 1.83
Te1 0.0000 0.5000 0.5000  2 Cu 2.67
Te2 0.5000 0.0000 0.5000  2 Cu 2.67
N1 0.5000 0.5000 0.0000  2 Cu 1.83

***

[12]
The following is a DFT calculation (PBE) of a relaxed structure of ScCuTe2N.

Computed properties:
The calculation puts the spin magnetization at 0.0 μB per formula unit. The formation energy from raw total energies comes out at 421 meV/atom. As for the symmetry: P4/mmm. The energy above the most stable polymorph in this dataset is 0.131 eV/atom. The calculation puts the density at 5.01 g/cm³. The calculation puts the density of states at the Fermi level at 4.35 states/eV/f.u.

Lattice parameters (Å, degrees): 5.6977 5.6977 3.8542 90.00 90.00 90.00
Last column: nearest neighbours and their distance in Å.
Sites, in units of the cell vectors:
Sc1 0.0000 0.0000 0.0000  2 N 1.93
Cu1 0.5000 0.5000 0.5000  8 Te 3.44
Te1 0.0000 0.5000 0.0000  2 Sc 2.85
Te2 0.5000 0.0000 0.0000  2 Sc 2.85
N1 0.0000 0.0000 0.5000  2 Sc 1.93

***

[13]
The following is a DFT calculation (PBE) of a relaxed structure of ScCuTeN2.

Computed properties:
The calculation puts the spin magnetization at 0.0 μB per formula unit. The formation energy from raw total energies comes out at 1067 meV/atom. As for the symmetry: P4/mmm. The energy above the most stable polymorph in this dataset is 0.276 eV/atom. The calculation puts the density at 5.41 g/cm³. The calculation puts the density of states at the Fermi level at 2.42 states/eV/f.u.

Lattice parameters (Å, degrees): 4.1668 4.1668 4.6674 90.00 90.00 90.00
Last column: nearest neighbours and their distance in Å.
Sites, in units of the cell vectors:
Sc1 0.0000 0.0000 0.0000  4 Cu 2.95, 8 N 3.13
Cu1 0.5000 0.5000 0.0000  2 Te 2.33
Te1 0.5000 0.5000 0.5000  4 N 2.08
N1 0.0000 0.5000 0.5000  2 Te 2.08
N2 0.5000 0.0000 0.5000  2 Te 2.08

***

[14]
The following is a DFT calculation (PBE) of a relaxed structure of ScCuTeN2.

Computed properties:
The calculation puts the spin magnetization at 0.5 μB per formula unit. The formation energy from raw total energies comes out at 791 meV/atom. As for the symmetry: P4/mmm. The energy above the most stable polymorph in this dataset is 0.000 eV/atom. The calculation puts the density at 4.40 g/cm³. The calculation puts the density of states at the Fermi level at 3.70 states/eV/f.u.

Lattice parameters (Å, degrees): 4.0085 4.0085 6.2102 90.00 90.00 90.00
Last column: nearest neighbours and their distance in Å.
Sites, in units of the cell vectors:
Sc1 0.0000 0.0000 0.0000  4 N 2.00
Cu1 0.5000 0.5000 0.5000  4 Te 2.83
Te1 0.0000 0.0000 0.5000  4 Cu 2.83, 2 Sc 3.11
N1 0.0000 0.5000 0.0000  2 Sc 2.00
N2 0.5000 0.0000 0.0000  2 Sc 2.00